Tb8Ge3Te4Au: optimized geometry, PBE.

extended XYZ file:
```
16
Lattice="-1.523 8.287 1.274 1.269 -1.072 8.495 6.054 -2.425 -5.485" Properties=species:S:1:pos:R:3 pbc="T T T"
Te -0.762 4.143 0.637
Au 0.635 -0.536 4.248
Tb -0.677 5.905 3.180
Tb 6.477 -1.116 1.104
Ge 3.662 -1.749 1.505
Ge 2.900 2.395 2.142
Tb 3.525 0.067 3.779
Tb 3.105 0.593 -0.145
Tb 2.695 4.196 4.429
Te 0.000 0.000 0.000
Te 2.265 2.931 -2.105
Tb 2.276 4.722 0.505
Tb 0.066 1.864 2.559
Ge -0.127 3.607 4.884
Te 3.027 -1.213 -2.742
Tb 5.734 2.925 1.726
```

Summary:
For the density of states at the Fermi level, the calculation gives 0.47 states/eV per atom. The calculation puts the formation energy without anion corrections at -1.15 eV/atom.

TbThGeAu: optimized geometry, PBE.

extended XYZ file:
```
4
Lattice="-1.529 1.888 -3.416 -3.862 0.469 1.988 2.384 3.962 3.696" Properties=species:S:1:pos:R:3 pbc="T T T"
Au 1.345 4.075 1.651
Th 0.452 1.369 0.555
Ge -2.425 2.000 -0.381
Tb -1.524 4.727 0.723
```

Summary:
For the density of states at the Fermi level, the calculation gives 0.97 states/eV per atom. As for the distance to the lowest polymorph of the same formula: 0.0 kJ per mole of atoms. The calculation puts the formation energy at -0.76 eV/atom.

TbThGeAu: optimized geometry, PBE.

extended XYZ file:
```
4
Lattice="5.182 0.000 0.000 2.591 4.487 0.000 2.591 1.496 4.231" Properties=species:S:1:pos:R:3 pbc="T T T"
Th 0.000 0.000 0.000
Tb 5.182 2.992 2.115
Au 7.773 4.487 3.173
Ge 2.591 1.496 1.058
```

Summary:
For the density of states at the Fermi level, the calculation gives 1.55 states/eV per atom. As for the distance to the lowest polymorph of the same formula: 13.5 kJ per mole of atoms. The calculation puts the formation energy at -0.62 eV/atom.

TcGeAu3: optimized geometry, PBE.

extended XYZ file:
```
5
Lattice="5.031 0.000 0.000 0.000 5.031 0.000 0.000 0.000 5.031" Properties=species:S:1:pos:R:3 pbc="T T T"
Au 0.000 0.000 2.516
Au 0.000 2.516 0.000
Au 2.516 0.000 0.000
Tc 0.000 0.000 0.000
Ge 2.516 2.516 2.516
```

Summary:
For the density of states at the Fermi level, the calculation gives 0.92 states/eV per atom. As for the distance to the lowest polymorph of the same formula: 22.4 kJ per mole of atoms. The calculation puts the formation energy at 1.20 eV/atom.

TcGe3Au: optimized geometry, PBE.

extended XYZ file:
```
5
Lattice="4.806 0.000 0.000 0.000 4.806 0.000 0.000 0.000 4.806" Properties=species:S:1:pos:R:3 pbc="T T T"
Tc 0.000 0.000 0.000
Ge 2.403 0.000 0.000
Au 2.403 2.403 2.403
Ge 0.000 0.000 2.403
Ge 0.000 2.403 0.000
```

Summary:
For the density of states at the Fermi level, the calculation gives 0.00 states/eV per atom. As for the distance to the lowest polymorph of the same formula: 0.0 kJ per mole of atoms. The calculation puts the formation energy at 0.25 eV/atom.

TcGeAu3: optimized geometry, PBE.

extended XYZ file:
```
5
Lattice="4.835 0.000 0.000 0.000 4.835 0.000 0.000 0.000 4.835" Properties=species:S:1:pos:R:3 pbc="T T T"
Au 0.000 2.417 0.000
Ge 0.000 0.000 0.000
Au 2.417 0.000 0.000
Au 0.000 0.000 2.417
Tc 2.417 2.417 2.417
```

Summary:
For the density of states at the Fermi level, the calculation gives 1.05 states/eV per atom. As for the distance to the lowest polymorph of the same formula: 0.0 kJ per mole of atoms. The calculation puts the formation energy at 0.97 eV/atom.

TcGe2Au2: optimized geometry, PBE.

extended XYZ file:
```
10
Lattice="6.770 0.000 0.000 0.000 6.770 0.000 0.000 0.000 3.781" Properties=species:S:1:pos:R:3 pbc="T T T"
Au 5.734 2.349 1.891
Au 1.036 4.421 1.891
Au 4.421 5.734 1.891
Ge 4.430 1.045 0.000
Ge 5.725 4.430 0.000
Tc 3.385 3.385 0.000
Ge 1.045 2.340 0.000
Ge 2.340 5.725 0.000
Au 2.349 1.036 1.891
Tc 0.000 0.000 0.000
```

Summary:
For the density of states at the Fermi level, the calculation gives 0.72 states/eV per atom. The calculation puts the formation energy at 0.25 eV/atom.

TcGeAu2: optimized geometry, PBE.

extended XYZ file:
```
4
Lattice="-0.088 -1.817 -2.136 -0.638 -2.691 0.472 -10.492 0.676 -1.984" Properties=species:S:1:pos:R:3 pbc="T T T"
Au -7.832 0.110 -1.613
Ge -5.609 -1.916 -1.824
Au -3.386 -3.942 -2.035
Tc 0.000 0.000 0.000
```

Summary:
For the density of states at the Fermi level, the calculation gives 0.93 states/eV per atom. As for the distance to the lowest polymorph of the same formula: 14.8 kJ per mole of atoms. The calculation puts the formation energy at 0.55 eV/atom.

TcGeAu2: optimized geometry, PBE.

extended XYZ file:
```
4
Lattice="0.000 3.303 3.303 3.303 0.000 3.303 3.303 3.303 0.000" Properties=species:S:1:pos:R:3 pbc="T T T"
Au 4.954 4.954 4.954
Au 1.651 1.651 1.651
Ge 0.000 0.000 0.000
Tc 3.303 3.303 3.303
```

Summary:
For the density of states at the Fermi level, the calculation gives 0.40 states/eV per atom. As for the distance to the lowest polymorph of the same formula: 8.5 kJ per mole of atoms. The calculation puts the formation energy at 0.48 eV/atom.

Tc2Ge2Au: optimized geometry, PBE.

extended XYZ file:
```
5
Lattice="-3.286 -1.079 1.083 0.782 -3.392 -1.007 1.027 -3.414 5.778" Properties=species:S:1:pos:R:3 pbc="T T T"
Ge 0.279 -4.521 2.405
Tc -0.785 -2.477 1.214
Tc -0.692 -5.408 4.640
Ge -1.755 -3.364 3.449
Au 0.000 0.000 0.000
```

Summary:
For the density of states at the Fermi level, the calculation gives 1.08 states/eV per atom. As for the distance to the lowest polymorph of the same formula: 19.3 kJ per mole of atoms. The calculation puts the formation energy at 0.25 eV/atom.

Tc2Ge2Au: optimized geometry, PBE.

extended XYZ file:
```
10
Lattice="7.114 0.000 0.000 0.000 7.114 0.000 0.000 0.000 3.157" Properties=species:S:1:pos:R:3 pbc="T T T"
Au 3.557 3.557 0.000
Tc 0.996 2.561 0.000
Au 0.000 0.000 0.000
Ge 1.098 4.655 1.579
Ge 4.655 6.016 1.579
Tc 2.561 6.118 0.000
Tc 6.118 4.553 0.000
Ge 6.016 2.459 1.579
Tc 4.553 0.996 0.000
Ge 2.459 1.098 1.579
```

Summary:
For the density of states at the Fermi level, the calculation gives 0.93 states/eV per atom. As for the distance to the lowest polymorph of the same formula: 0.0 kJ per mole of atoms. The calculation puts the formation energy at 0.05 eV/atom.

TcGeAu2: optimized geometry, PBE.

extended XYZ file:
```
8
Lattice="-3.632 1.029 -0.337 0.331 -0.065 -3.775 -4.399 -9.241 -2.129" Properties=species:S:1:pos:R:3 pbc="T T T"
Ge -1.650 0.482 -2.056
Au -1.342 -2.224 -2.933
Tc -4.840 -3.865 -2.261
Au -6.187 -6.088 -5.199
Au -3.333 -1.674 -1.215
Au -4.537 -6.569 -3.134
Tc 0.000 0.000 0.000
Ge -2.859 -4.412 -3.980
```

Summary:
For the density of states at the Fermi level, the calculation gives 0.79 states/eV per atom. As for the distance to the lowest polymorph of the same formula: 0.0 kJ per mole of atoms. The calculation puts the formation energy at 0.39 eV/atom.